Entry 1:
The following is a DFT calculation (PBE) of a geometry-optimized Ta2CuSi structure.

Calculated values
Formation energy (no corrections) (eV per formula unit): 0.5
Crystal system: trigonal

a = 9.123 Å, b = 9.123 Å, c = 9.123 Å
α = 18.03°, β = 18.03°, γ = 18.03°
Fractional positions:
Ta 0.499 0.499 0.499
Ta 0.001 0.001 0.001
Cu 0.250 0.250 0.250
Si 0.750 0.750 0.750

---

Entry 2:
The following is a DFT calculation (PBE) of a geometry-optimized Pm3Hg2Pt structure.

Calculated values
Calculated formation energy (kJ/mol of atoms): -66.0
Crystal system: tetragonal
Distance to the lowest polymorph of the same formula (meV per atom): 0

a = 3.722 Å, b = 3.722 Å, c = 11.291 Å
α = 90.00°, β = 90.00°, γ = 90.00°
Fractional positions:
Pm 0.000 0.000 0.000
Pm 0.000 0.000 0.649
Pm 0.000 0.000 0.351
Hg 0.500 0.500 0.830
Hg 0.500 0.500 0.170
Pt 0.500 0.500 0.500

---

Entry 3:
The following is a DFT calculation (PBE) of a geometry-optimized ErGe3Ir structure.

Calculated values
Calculated formation energy (kJ/mol of atoms): -51.4
Crystal system: orthorhombic

a = 5.826 Å, b = 5.575 Å, c = 6.028 Å
α = 90.00°, β = 90.00°, γ = 90.00°
Fractional positions:
Er 0.423 0.323 0.701
Er 0.923 0.029 0.201
Ge 0.472 0.861 0.964
Ge 0.850 0.077 0.701
Ge 0.472 0.861 0.438
Ge 0.350 0.276 0.201
Ge 0.972 0.492 0.938
Ge 0.972 0.492 0.464
Ir 0.661 0.556 0.201
Ir 0.161 0.797 0.701

---

Entry 4:
The following is a DFT calculation (PBE) of a geometry-optimized K2SrLa structure.

Calculated values
Calculated formation energy (kJ/mol of atoms): 33.2
Crystal system: tetragonal
Distance to the lowest polymorph of the same formula (meV per atom): 150

a = 3.882 Å, b = 3.882 Å, c = 14.235 Å
α = 90.00°, β = 90.00°, γ = 90.00°
Fractional positions:
K 0.000 0.000 0.007
K 0.000 0.000 0.493
Sr 0.500 0.500 0.750
La 0.500 0.500 0.250

---

Number 3 is which compound? ErGe3Ir